[1]
## MoOs3Rh (GGA-PBE)

Data for a relaxed MoOs3Rh crystal.

a b c (Å): 4.595 4.595 4.595
angles (deg): 90.00 90.00 90.00
Positions (direct):
1 Os 0.000 0.000 0.500
2 Os 0.500 0.000 0.000
3 Os 0.000 0.500 0.000
4 Mo 0.500 0.500 0.500
5 Rh 0.000 0.000 0.000

## Properties
Total magnetic moment in μB per atom: 0.000
Mass density in g/cm³: 13.2
Energy of formation in meV/atom: 2612
SG: Pm-3m



[2]
## MoOs2Rh4 (GGA-PBE)

Data for a relaxed MoOs2Rh4 crystal.

a b c (Å): 4.641 4.644 7.088
angles (deg): 130.96 78.21 108.19
Each line ends with the local moment (μB).
Positions (direct):
1 Os 0.500 0.000 0.500  0.40
2 Os 0.500 0.500 0.000  -0.01
3 Rh 0.500 0.256 0.256  0.03
4 Rh 0.000 0.757 0.256  0.03
5 Rh 0.000 0.243 0.744  0.03
6 Mo 0.000 0.000 0.000  0.03
7 Rh 0.500 0.744 0.744  0.03

## Properties
Total magnetic moment in μB per atom: 0.080
Mass density in g/cm³: 13.5
Energy of formation in meV/atom: 199
SG: Cmmm



[3]
## Mo4OsRh (GGA-PBE)

Data for a relaxed Mo4OsRh crystal.

a b c (Å): 5.121 5.121 5.121
angles (deg): 60.00 60.00 60.00
Positions (direct):
1 Rh 0.000 0.000 0.000
2 Mo 0.876 0.375 0.375
3 Mo 0.375 0.375 0.876
4 Mo 0.375 0.876 0.375
5 Os 0.750 0.750 0.750
6 Mo 0.375 0.375 0.375

## Properties
Total magnetic moment in μB per atom: 0.000
Mass density in g/cm³: 11.8
Energy of formation in meV/atom: 291
SG: F-43m



[4]
## MoOsRh3 (GGA-PBE)

Data for a relaxed MoOsRh3 crystal.

a b c (Å): 4.678 4.678 4.678
angles (deg): 90.00 90.00 90.00
Each line ends with the local moment (μB).
Positions (direct):
1 Rh 0.000 0.000 0.500  -0.01
2 Rh 0.000 0.500 0.000  0.07
3 Os 0.000 0.000 0.000  0.02
4 Rh 0.500 0.000 0.000  0.10
5 Mo 0.500 0.500 0.500  3.10

## Properties
Total magnetic moment in μB per atom: 0.780
Mass density in g/cm³: 9.7
Energy of formation in meV/atom: 1653
SG: Pm-3m



[5]
## MoOsRh4 (GGA-PBE)

Data for a relaxed MoOsRh4 crystal.

a b c (Å): 5.026 5.026 5.026
angles (deg): 60.00 60.00 60.00
Positions (direct):
1 Rh 0.375 0.375 0.876
2 Mo 0.750 0.750 0.750
3 Rh 0.375 0.375 0.375
4 Rh 0.375 0.876 0.375
5 Os 0.000 0.000 0.000
6 Rh 0.876 0.375 0.375

## Properties
Total magnetic moment in μB per atom: 0.000
Mass density in g/cm³: 12.9
Energy of formation in meV/atom: 395
SG: F-43m



[6]
## MoOs3Rh (GGA-PBE)

Data for a relaxed MoOs3Rh crystal.

a b c (Å): 5.213 5.213 5.270
angles (deg): 60.36 60.36 60.00
Each line ends with the local moment (μB).
Positions (direct):
1 Rh 0.975 0.975 0.075  -0.27
2 Mo 0.475 0.475 0.575  0.59
3 Os 0.975 0.475 0.575  -0.15
4 Os 0.975 0.975 0.575  -0.15
5 Os 0.475 0.975 0.575  -0.15

## Properties
Total magnetic moment in μB per atom: 0.015
Mass density in g/cm³: 12.6
Energy of formation in meV/atom: 1410
SG: R-3m



> Which formula does entry 3 have?

Mo4OsRh



> Which value of energy of formation does entry 4 give?

1653 meV/atom



> Which formula does entry 3 have?

Mo4OsRh



> Which formula does entry 4 have?

MoOsRh3